Material: Dy2TmSc3S6
Method: DFT, GGA-PBE
State: relaxed

Values from the calculation:
**Calculated total energy**: -6.70 eV/atom
**Formation energy (no corrections)**: -1.91 eV/atom
**Total moment**: 0.00 μB per atom
**Calculated volume**: 230.9 Å³/cell

```
Dy2TmSc3S6
1.0
8.2475 -1.8919 0.0000
8.2475 1.8919 0.0000
-1.7436 0.0000 7.3993
Dy Tm Sc S
2 1 3 6
Direct
0.1673 0.1673 0.3346
0.8327 0.8327 0.6654
0.5000 0.5000 0.0000
0.1678 0.1678 0.8324
0.5000 0.5000 0.5000
0.8322 0.8322 0.1676
0.0037 0.0037 0.7458
0.3316 0.3316 0.9268
0.3374 0.3374 0.4078
0.6626 0.6626 0.5922
0.6684 0.6684 0.0732
0.9963 0.9963 0.2542
```